(1)
The following is a PBE calculation of an optimized crystal structure of LuInRh2, from Alexandria.

Cell: 4.6393 4.6404 4.6404 Å, 59.98 60.01 60.01°
Closest atoms and distances in Å follow each position.
Fractional positions:
Lu: 0.7500 0.7500 0.7500  8 Rh 2.84
Rh: 0.0000 0.0000 0.0000  4 In 2.84, 4 Lu 2.84
Rh: 0.5000 0.5000 0.5000  4 In 2.84, 4 Lu 2.84
In: 0.2500 0.2500 0.2500  8 Rh 2.84

## Properties
- Calculated volume: 17.659 Å³/atom
- Crystal system: cubic
- Space-group type: Fm-3m (225)
- Calculated formation energy: -3.32 eV/f.u.
- DFT total energy: -25.28 eV/f.u.

***

(2)
The following is a PBE calculation of an optimized crystal structure of LuInRh2, from Alexandria.

Cell: 3.4854 4.4929 4.4929 Å, 90.00 90.00 90.00°
Closest atoms and distances in Å follow each position.
Fractional positions:
Lu: 0.5000 0.5000 0.5000  8 Rh 2.84, 4 In 3.18
Rh: 0.0000 0.0000 0.5000  4 In 2.84, 4 Lu 2.84, 4 Rh 3.18
Rh: 0.0000 0.5000 0.0000  4 In 2.84, 4 Lu 2.84, 4 Rh 3.18
In: 0.5000 0.0000 0.0000  8 Rh 2.84, 4 Lu 3.18

## Properties
- Calculated volume: 17.589 Å³/atom
- Crystal system: tetragonal
- Space-group type: P4/mmm (123)
- Calculated formation energy: -3.37 eV/f.u.
- DFT total energy: -25.33 eV/f.u.